DFT (PBE) results for crystalline RbBa3Na at its relaxed geometry.

Lattice parameters (Å, degrees): 7.1925 7.1925 7.1925 90.00 90.00 90.00
With the nearest neighbours (Å) after each atom.
Sites, in units of the cell vectors:
1 Na 0.5000 0.5000 0.5000  12 Ba 5.09
2 Rb 0.0000 0.0000 0.0000  6 Ba 3.60
3 Ba 0.0000 0.5000 0.0000  2 Rb 3.60
4 Ba 0.5000 0.0000 0.0000  2 Rb 3.60
5 Ba 0.0000 0.0000 0.5000  2 Rb 3.60

Output
**DOS at the Fermi energy**: 9.61 states/eV per cell
**Energy of formation**: 613 meV/atom
**Magnetization**: 2.901 μB/cell
**Crystal system**: cubic
**Polymorph energy (0 for the lowest one)**: 383 meV per atom